{
  "formula": "KTa2Mn2",
  "functional": "GGA-PBE",
  "state": "relaxed",
  "cell": [[3.754, 0.000, 0.000], [0.000, 3.754, 0.000], [1.877, 1.877, 8.499]],
  "species": ["K", "Mn", "Mn", "Ta", "Ta"],
  "fractional_positions": [[0.000, 0.000, 0.000], [0.750, 0.250, 0.500], [0.250, 0.750, 0.500], [0.339, 0.339, 0.322], [0.661, 0.661, 0.678]],
  "formation_enthalpy_0k_kj_per_mol_atoms": 89,
  "n_ef_per_ev_cell": 4.07,
  "volume_a3_per_atom": 23.95,
  "polymorph_energy_mev_per_atom": 203
}